Mg6BiB | the Alexandria database | GGA-PBE | relaxed; ΔH_f (0 K) = 1.5 eV per formula unit; space group = Amm2, No. 38; total moment = 0.000 μB/f.u.; offset from the most stable computed form = 0.0 meV/atom
1.0
3.879 0.000 0.000
0.000 4.383 5.070
0.000 -4.383 5.070
Mg Bi B
6 1 1
Cartesian
0.000 0.000 0.000
0.000 0.000 4.855
0.000 -1.471 7.553
0.000 1.471 7.553
1.939 -2.262 4.872
1.939 2.262 4.872
1.939 0.000 2.480
1.939 0.000 8.651